(1)
# BeTe2C

Crystalline BeTe2C at its relaxed geometry (GGA-PBE, the Alexandria database).

```
data_BeTe2C
_chemical_formula_sum 'Be3 Te6 C3'
_cell_length_a 3.8849
_cell_length_b 3.8849
_cell_length_c 21.6396
_cell_angle_alpha 90.00
_cell_angle_beta 90.00
_cell_angle_gamma 120.00
_symmetry_space_group_name_H-M 'R -3 m'
_symmetry_Int_Tables_number 166
_symmetry_space_group_name_Hall '-R 3 2"'
loop_
_atom_site_label
_atom_site_type_symbol
_atom_site_fract_x
_atom_site_fract_y
_atom_site_fract_z
Be1 Be 0.0000 0.0000 0.0000
Te1 Te 0.0000 0.0000 0.1046
C1 C 0.0000 0.0000 0.5000
```

Results
**Formation energy from raw total energies**: 134 kJ/mol of atoms
**Density**: 4.9 g/cm3
**Distance to the lowest polymorph of the same formula**: 515 meV per atom
**D(E_F)**: 1.90 states/eV per cell

=====

(2)
# PrAl4Cu

Crystalline PrAl4Cu at its relaxed geometry (GGA-PBE, the Alexandria database).

```
data_PrAl4Cu
_chemical_formula_sum 'Pr2 Al8 Cu2'
_cell_length_a 6.238
_cell_length_b 6.238
_cell_length_c 6.999
_cell_angle_alpha 90.00
_cell_angle_beta 90.00
_cell_angle_gamma 90.00
_symmetry_space_group_name_H-M 'P 4/m b m'
_symmetry_Int_Tables_number 127
_symmetry_space_group_name_Hall '-P 4 2ab'
loop_
_atom_site_label
_atom_site_type_symbol
_atom_site_fract_x
_atom_site_fract_y
_atom_site_fract_z
Pr1 Pr 0.000 0.500 0.000
Al1 Al 0.000 0.000 0.176
Al2 Al 0.154 0.346 0.500
Cu1 Cu 0.000 0.000 0.500
```

Results
**ΔE_f**: 0.126 eV/atom
**Density**: 3.8 g/cm3
**D(E_F)**: 9.20 states/eV per cell

=====

(3)
# SrCo3Hg

Crystalline SrCo3Hg at its relaxed geometry (GGA-PBE, the Alexandria database).

```
data_SrCo3Hg
_chemical_formula_sum 'Sr1 Co3 Hg1'
_cell_length_a 4.749
_cell_length_b 4.749
_cell_length_c 4.749
_cell_angle_alpha 90.00
_cell_angle_beta 90.00
_cell_angle_gamma 90.00
_symmetry_space_group_name_H-M 'P m -3 m'
_symmetry_Int_Tables_number 221
_symmetry_space_group_name_Hall '-P 4 2 3'
loop_
_atom_site_label
_atom_site_type_symbol
_atom_site_fract_x
_atom_site_fract_y
_atom_site_fract_z
Sr1 Sr 0.000 0.000 0.000
Co1 Co 0.000 0.000 0.500
Hg1 Hg 0.500 0.500 0.500
```

Results
**ΔE_f**: 2.029 eV/atom
**Density**: 7.2 g/cm3
**Distance to the lowest polymorph of the same formula**: 950 meV per atom
**D(E_F)**: 9.59 states/eV per cell

=====

(4)
# Sm10YHo4

Crystalline Sm10YHo4 at its relaxed geometry (GGA-PBE, the Alexandria database).

```
data_Sm10YHo4
_chemical_formula_sum 'Sm20 Y2 Ho8'
_cell_length_a 12.276
_cell_length_b 12.276
_cell_length_c 7.745
_cell_angle_alpha 90.00
_cell_angle_beta 90.00
_cell_angle_gamma 90.00
_symmetry_space_group_name_H-M 'I 4/m'
_symmetry_Int_Tables_number 87
_symmetry_space_group_name_Hall '-I 4'
loop_
_atom_site_label
_atom_site_type_symbol
_atom_site_fract_x
_atom_site_fract_y
_atom_site_fract_z
Sm1 Sm 0.000 0.500 0.250
Sm2 Sm 0.100 0.799 0.249
Y1 Y 0.000 0.000 0.500
Ho1 Ho 0.100 0.300 0.000
```

Results
**ΔE_f**: 0.713 eV/atom
**Density**: 6.4 g/cm3
**D(E_F)**: 39.60 states/eV per cell

=====

(5)
# Ce2SnPd3

Crystalline Ce2SnPd3 at its relaxed geometry (GGA-PBE, the Alexandria database).

```
data_Ce2SnPd3
_chemical_formula_sum 'Ce16 Sn8 Pd24'
_cell_length_a 6.536
_cell_length_b 9.476
_cell_length_c 16.458
_cell_angle_alpha 90.00
_cell_angle_beta 90.00
_cell_angle_gamma 90.00
_symmetry_space_group_name_H-M 'F m m m'
_symmetry_Int_Tables_number 69
_symmetry_space_group_name_Hall '-F 2 2'
loop_
_atom_site_label
_atom_site_type_symbol
_atom_site_fract_x
_atom_site_fract_y
_atom_site_fract_z
Ce1 Ce 0.226 0.000 0.000
Ce2 Ce 0.250 0.250 0.250
Sn1 Sn 0.000 0.000 0.336
Pd1 Pd 0.000 0.000 0.170
Pd2 Pd 0.000 0.245 0.416
```

Results
**ΔE_f**: -0.695 eV/atom
**Density**: 9.4 g/cm3
**D(E_F)**: 62.26 states/eV per cell

=====

(6)
# GaSb2Pd

Crystalline GaSb2Pd at its relaxed geometry (GGA-PBE, the Alexandria database).

```
data_GaSb2Pd
_chemical_formula_sum 'Ga4 Sb8 Pd4'
_cell_length_a 5.816
_cell_length_b 5.816
_cell_length_c 13.438
_cell_angle_alpha 90.00
_cell_angle_beta 90.00
_cell_angle_gamma 90.00
_symmetry_space_group_name_H-M 'I -4 2 d'
_symmetry_Int_Tables_number 122
_symmetry_space_group_name_Hall 'I -4 2bw'
loop_
_atom_site_label
_atom_site_type_symbol
_atom_site_fract_x
_atom_site_fract_y
_atom_site_fract_z
Ga1 Ga 0.000 0.000 0.000
Sb1 Sb 0.230 0.250 0.625
Pd1 Pd 0.000 0.000 0.500
```

Results
**Formation energy from raw total energies**: -6 kJ/mol of atoms
**Density**: 6.1 g/cm3
**D(E_F)**: 10.28 states/eV per cell

=====

(7)
# SmMn4Si2

Crystalline SmMn4Si2 at its relaxed geometry (GGA-PBE, the Alexandria database).

```
data_SmMn4Si2
_chemical_formula_sum 'Sm2 Mn8 Si4'
_cell_length_a 3.916
_cell_length_b 13.105
_cell_length_c 3.892
_cell_angle_alpha 90.00
_cell_angle_beta 90.00
_cell_angle_gamma 90.00
_symmetry_space_group_name_H-M 'C m m m'
_symmetry_Int_Tables_number 65
_symmetry_space_group_name_Hall '-C 2 2'
loop_
_atom_site_label
_atom_site_type_symbol
_atom_site_fract_x
_atom_site_fract_y
_atom_site_fract_z
Sm1 Sm 0.000 0.000 0.000
Mn1 Mn 0.000 0.201 0.500
Mn2 Mn 0.000 0.298 0.000
Si1 Si 0.000 0.404 0.500
```

Results
**Formation energy from raw total energies**: -43 kJ/mol of atoms
**Density**: 7.1 g/cm3
**D(E_F)**: 10.36 states/eV per cell

=====

(8)
# Cs2OsCl7

Crystalline Cs2OsCl7 at its relaxed geometry (GGA-PBE, the Alexandria database).

```
data_Cs2OsCl7
_chemical_formula_sum 'Cs4 Os2 Cl14'
_cell_length_a 7.824
_cell_length_b 7.824
_cell_length_c 11.089
_cell_angle_alpha 90.00
_cell_angle_beta 90.00
_cell_angle_gamma 90.00
_symmetry_space_group_name_H-M 'I 4/m m m'
_symmetry_Int_Tables_number 139
_symmetry_space_group_name_Hall '-I 4 2'
loop_
_atom_site_label
_atom_site_type_symbol
_atom_site_fract_x
_atom_site_fract_y
_atom_site_fract_z
Cs1 Cs 0.000 0.500 0.250
Os1 Os 0.000 0.000 0.000
Cl1 Cl 0.000 0.000 0.211
Cl2 Cl 0.000 0.000 0.500
Cl3 Cl 0.211 0.211 0.000
```

Results
**Formation energy from raw total energies**: -98 kJ/mol of atoms
**Density**: 3.4 g/cm3
**Distance to the lowest polymorph of the same formula**: 0 meV per atom
**D(E_F)**: 2.28 states/eV per cell